The following is a PBE calculation of a geometry-optimized CaCrP2 structure, from Alexandria via LeMat-Bulk.

Geometry as POSCAR:
```
CaCrP2
1.0
5.5278 -0.0003 0.0000
2.8659 4.7268 0.0000
-4.1969 -2.3633 2.7125
P Cr Ca
2 1 1
direct
0.0000 0.0000 0.0000
0.2500 0.7500 0.5000
0.7500 0.2500 0.5000
0.5000 0.5000 0.0000
```

**Polymorph energy (0 for the lowest one)**: 513 meV per atom
**Spin magnetization**: 3.3 μB per cell
**ΔE_f**: -0.12 eV/atom